(1)
The following is a PBE calculation of a geometry-optimized Mn4AsW structure, from Alexandria.

Calculated values
Electronic total energy: -52.8 eV for the cell shown
Magnetic moment: 4.9 μB per formula unit
Calculated volume: 12.70 A^3/atom
ΔE_f: 0.242 eV/atom

Unit cell a=4.758 b=4.758 c=4.758 alpha=60.00 beta=60.00 gamma=60.00
Fractional coordinates of all 6 atoms:
Mn1 0.125 0.125 0.125
Mn2 0.125 0.125 0.625
Mn3 0.125 0.625 0.125
Mn4 0.625 0.125 0.125
As1 0.500 0.500 0.500
W1 0.750 0.750 0.750


(2)
The following is a PBE calculation of a geometry-optimized MnAsW2 structure, from Alexandria.

Calculated values
Electronic total energy: -77.3 eV for the cell shown
Magnetic moment: 1.5 μB per formula unit
Calculated volume: 14.72 A^3/atom
ΔE_f: 0.264 eV/atom

Unit cell a=3.295 b=4.250 c=8.409 alpha=90.00 beta=90.00 gamma=90.00
Fractional coordinates of all 8 atoms:
Mn1 0.000 0.000 0.000
Mn2 0.500 0.500 0.500
As1 0.000 0.000 0.500
As2 0.500 0.500 0.000
W1 0.000 0.500 0.248
W2 0.000 0.500 0.752
W3 0.500 0.000 0.252
W4 0.500 0.000 0.748


(3)
The following is a PBE calculation of a geometry-optimized MnAsW2 structure, from Alexandria.

Calculated values
Electronic total energy: -76.0 eV for the cell shown
Magnetic moment: 1.4 μB per formula unit
Calculated volume: 15.12 A^3/atom
ΔE_f: 0.433 eV/atom

Unit cell a=3.294 b=4.533 c=8.102 alpha=90.00 beta=90.00 gamma=90.00
Fractional coordinates of all 8 atoms:
Mn1 0.000 0.000 0.000
Mn2 0.500 0.500 0.000
As1 0.000 0.000 0.500
As2 0.500 0.500 0.500
W1 0.000 0.500 0.240
W2 0.000 0.500 0.760
W3 0.500 0.000 0.240
W4 0.500 0.000 0.760


(4)
The following is a PBE calculation of a geometry-optimized MnAsW2 structure, from Alexandria.

Calculated values
Electronic total energy: -38.5 eV for the cell shown
Magnetic moment: 2.1 μB per formula unit
Calculated volume: 14.73 A^3/atom
ΔE_f: 0.310 eV/atom

Unit cell a=4.387 b=4.387 c=3.061 alpha=90.00 beta=90.00 gamma=90.00
Fractional coordinates of all 4 atoms:
Mn1 0.000 0.000 0.000
As1 0.500 0.500 0.000
W1 0.000 0.500 0.500
W2 0.500 0.000 0.500


(5)
The following is a PBE calculation of a geometry-optimized Mn2As2W structure, from Alexandria.

Calculated values
Relative energy among the computed polymorphs: 0.0 meV/atom
Electronic total energy: -80.3 eV for the cell shown
Magnetic moment: 6.4 μB per formula unit
Calculated volume: 15.12 A^3/atom
ΔE_f: 0.090 eV/atom

Unit cell a=6.749 b=6.749 c=3.318 alpha=90.00 beta=90.00 gamma=90.00
Fractional coordinates of all 10 atoms:
Mn1 0.145 0.355 0.000
Mn2 0.355 0.855 0.000
Mn3 0.645 0.145 0.000
Mn4 0.855 0.645 0.000
As1 0.153 0.653 0.500
As2 0.347 0.153 0.500
As3 0.653 0.847 0.500
As4 0.847 0.347 0.500
W1 0.000 0.000 0.500
W2 0.500 0.500 0.500


(6)
The following is a PBE calculation of a geometry-optimized MnAsW2 structure, from Alexandria.

Calculated values
Electronic total energy: -38.5 eV for the cell shown
Magnetic moment: 0.0 μB per formula unit
Calculated volume: 14.59 A^3/atom
ΔE_f: 0.307 eV/atom

Unit cell a=3.134 b=4.134 c=4.506 alpha=90.00 beta=90.00 gamma=90.00
Fractional coordinates of all 4 atoms:
Mn1 0.000 0.000 0.000
As1 0.500 0.000 0.500
W1 0.000 0.500 0.500
W2 0.500 0.500 0.000


(7)
The following is a PBE calculation of a geometry-optimized MnAsW2 structure, from Alexandria.

Calculated values
Electronic total energy: -146.7 eV for the cell shown
Magnetic moment: 0.0 μB per formula unit
Calculated volume: 15.94 A^3/atom
ΔE_f: 0.760 eV/atom

Unit cell a=3.737 b=3.737 c=18.267 alpha=90.00 beta=90.00 gamma=90.00
Fractional coordinates of all 16 atoms:
Mn1 0.000 0.000 0.000
Mn2 0.000 0.500 0.250
Mn3 0.500 0.000 0.750
Mn4 0.500 0.500 0.500
As1 0.000 0.000 0.500
As2 0.000 0.500 0.750
As3 0.500 0.000 0.250
As4 0.500 0.500 0.000
W1 0.249 0.250 0.625
W2 0.250 0.749 0.875
W3 0.250 0.751 0.375
W4 0.251 0.250 0.125
W5 0.749 0.750 0.125
W6 0.750 0.249 0.375
W7 0.750 0.251 0.875
W8 0.751 0.750 0.625


(8)
The following is a PBE calculation of a geometry-optimized MnAsW4 structure, from Alexandria.

Calculated values
Electronic total energy: -61.0 eV for the cell shown
Magnetic moment: 2.9 μB per formula unit
Calculated volume: 17.41 A^3/atom
ΔE_f: 0.780 eV/atom

Unit cell a=5.287 b=5.287 c=5.287 alpha=60.00 beta=60.00 gamma=60.00
Fractional coordinates of all 6 atoms:
Mn1 0.000 0.000 0.000
As1 0.250 0.250 0.250
W1 0.123 0.626 0.626
W2 0.626 0.123 0.626
W3 0.626 0.626 0.123
W4 0.626 0.626 0.626


(9)
The following is a PBE calculation of a geometry-optimized MnAsW2 structure, from Alexandria.

Calculated values
Electronic total energy: -38.5 eV for the cell shown
Magnetic moment: 0.0 μB per formula unit
Calculated volume: 14.57 A^3/atom
ΔE_f: 0.298 eV/atom

Unit cell a=2.903 b=2.903 c=6.913 alpha=90.00 beta=90.00 gamma=90.00
Fractional coordinates of all 4 atoms:
Mn1 0.000 0.000 0.000
As1 0.000 0.000 0.500
W1 0.500 0.500 0.234
W2 0.500 0.500 0.766


(10)
The following is a PBE calculation of a geometry-optimized Mn3AsW structure, from Alexandria.

Calculated values
Relative energy among the computed polymorphs: 0.0 meV/atom
Electronic total energy: -39.4 eV for the cell shown
Magnetic moment: 2.1 μB per formula unit
Calculated volume: 15.54 A^3/atom
ΔE_f: 1.150 eV/atom

Unit cell a=4.267 b=4.267 c=4.267 alpha=90.00 beta=90.00 gamma=90.00
Fractional coordinates of all 5 atoms:
Mn1 0.000 0.000 0.500
Mn2 0.000 0.500 0.000
Mn3 0.500 0.000 0.000
As1 0.000 0.000 0.000
W1 0.500 0.500 0.500


(11)
The following is a PBE calculation of a geometry-optimized MnAsW2 structure, from Alexandria.

Calculated values
Electronic total energy: -77.4 eV for the cell shown
Magnetic moment: 2.2 μB per formula unit
Calculated volume: 15.22 A^3/atom
ΔE_f: 0.253 eV/atom

Unit cell a=3.285 b=4.561 c=8.127 alpha=90.00 beta=90.00 gamma=90.00
Fractional coordinates of all 8 atoms:
Mn1 0.000 0.000 0.000
Mn2 0.500 0.500 0.000
As1 0.000 0.500 0.227
As2 0.500 0.000 0.227
W1 0.000 0.000 0.486
W2 0.000 0.500 0.753
W3 0.500 0.000 0.753
W4 0.500 0.500 0.486


(12)
The following is a PBE calculation of a geometry-optimized MnAsW2 structure, from Alexandria.

Calculated values
Electronic total energy: -151.8 eV for the cell shown
Magnetic moment: 0.4 μB per formula unit
Calculated volume: 14.60 A^3/atom
ΔE_f: 0.446 eV/atom

Unit cell a=6.158 b=6.158 c=6.158 alpha=90.00 beta=90.00 gamma=90.00
Fractional coordinates of all 16 atoms:
Mn1 0.000 0.000 0.000
Mn2 0.000 0.500 0.500
Mn3 0.500 0.000 0.500
Mn4 0.500 0.500 0.000
As1 0.250 0.250 0.750
As2 0.250 0.750 0.250
As3 0.750 0.250 0.250
As4 0.750 0.750 0.750
W1 0.000 0.000 0.500
W2 0.000 0.500 0.000
W3 0.250 0.250 0.250
W4 0.250 0.750 0.750
W5 0.500 0.000 0.000
W6 0.500 0.500 0.500
W7 0.750 0.250 0.750
W8 0.750 0.750 0.250


(13)
The following is a PBE calculation of a geometry-optimized MnAsW2 structure, from Alexandria.

Calculated values
Electronic total energy: -38.4 eV for the cell shown
Magnetic moment: 1.7 μB per formula unit
Calculated volume: 15.00 A^3/atom
ΔE_f: 0.320 eV/atom

Unit cell a=2.769 b=4.162 c=5.337 alpha=90.00 beta=102.69 gamma=90.00
Fractional coordinates of all 4 atoms:
Mn1 0.000 0.000 0.000
As1 0.500 0.000 0.500
W1 0.274 0.500 0.757
W2 0.726 0.500 0.243


(14)
The following is a PBE calculation of a geometry-optimized YMn2As structure, from Alexandria.

Calculated values
Electronic total energy: -59.4 eV for the cell shown
Magnetic moment: 7.1 μB per formula unit
Calculated volume: 18.81 A^3/atom
ΔE_f: -0.066 eV/atom

Unit cell a=4.030 b=4.030 c=9.268 alpha=90.00 beta=90.00 gamma=90.00
Fractional coordinates of all 8 atoms:
Y1 0.000 0.000 0.000
Y2 0.500 0.500 0.500
Mn1 0.000 0.500 0.250
Mn2 0.000 0.500 0.750
Mn3 0.500 0.000 0.250
Mn4 0.500 0.000 0.750
As1 0.000 0.000 0.500
As2 0.500 0.500 0.000


(15)
The following is a PBE calculation of a geometry-optimized YMn2As structure, from Alexandria.

Calculated values
Electronic total energy: -30.2 eV for the cell shown
Magnetic moment: 7.4 μB per formula unit
Calculated volume: 19.64 A^3/atom
ΔE_f: -0.176 eV/atom

Unit cell a=3.774 b=3.952 c=5.591 alpha=90.00 beta=109.55 gamma=90.00
Fractional coordinates of all 4 atoms:
Y1 0.000 0.000 0.000
Mn1 0.293 0.500 0.589
Mn2 0.730 0.000 0.463
As1 0.587 0.500 0.177


(16)
The following is a PBE calculation of a geometry-optimized YMnAs4 structure, from Alexandria.

Calculated values
Electronic total energy: -33.7 eV for the cell shown
Magnetic moment: 4.1 μB per formula unit
Calculated volume: 20.69 A^3/atom
ΔE_f: 0.091 eV/atom

Unit cell a=5.599 b=5.599 c=5.599 alpha=60.00 beta=60.00 gamma=60.00
Fractional coordinates of all 6 atoms:
Y1 0.000 0.000 0.000
Mn1 0.250 0.250 0.250
As1 0.129 0.624 0.624
As2 0.624 0.129 0.624
As3 0.624 0.624 0.129
As4 0.624 0.624 0.624


(17)
The following is a PBE calculation of a geometry-optimized YMn2As structure, from Alexandria.

Calculated values
Electronic total energy: -117.1 eV for the cell shown
Magnetic moment: 4.6 μB per formula unit
Calculated volume: 19.86 A^3/atom
ΔE_f: 0.043 eV/atom

Unit cell a=4.297 b=4.297 c=17.206 alpha=90.00 beta=90.00 gamma=90.00
Fractional coordinates of all 16 atoms:
Y1 0.000 0.000 0.000
Y2 0.000 0.500 0.250
Y3 0.500 0.000 0.750
Y4 0.500 0.500 0.500
Mn1 0.083 0.250 0.625
Mn2 0.250 0.583 0.875
Mn3 0.250 0.917 0.375
Mn4 0.417 0.250 0.125
Mn5 0.583 0.750 0.125
Mn6 0.750 0.083 0.375
Mn7 0.750 0.417 0.875
Mn8 0.917 0.750 0.625
As1 0.000 0.000 0.500
As2 0.000 0.500 0.750
As3 0.500 0.000 0.250
As4 0.500 0.500 0.000


(18)
The following is a PBE calculation of a geometry-optimized YMn2As structure, from Alexandria.

Calculated values
Electronic total energy: -29.7 eV for the cell shown
Magnetic moment: 7.0 μB per formula unit
Calculated volume: 18.30 A^3/atom
ΔE_f: -0.073 eV/atom

Unit cell a=4.113 b=4.113 c=4.329 alpha=90.00 beta=90.00 gamma=90.00
Fractional coordinates of all 4 atoms:
Y1 0.000 0.000 0.000
Mn1 0.000 0.500 0.500
Mn2 0.500 0.000 0.500
As1 0.500 0.500 0.000


(19)
The following is a PBE calculation of a geometry-optimized YMnAs structure, from Alexandria.

Calculated values
Electronic total energy: -22.1 eV for the cell shown
Magnetic moment: 3.3 μB per formula unit
Calculated volume: 20.09 A^3/atom
ΔE_f: -0.618 eV/atom

Unit cell a=4.213 b=4.213 c=3.921 alpha=90.00 beta=90.00 gamma=120.00
Fractional coordinates of all 3 atoms:
Y1 0.000 0.000 0.000
Mn1 0.667 0.333 0.500
As1 0.333 0.667 0.500


(20)
The following is a PBE calculation of a geometry-optimized YMn4As structure, from Alexandria.

Calculated values
Electronic total energy: -46.6 eV for the cell shown
Magnetic moment: 4.6 μB per formula unit
Calculated volume: 14.40 A^3/atom
ΔE_f: 0.196 eV/atom

Unit cell a=4.962 b=4.962 c=4.962 alpha=60.00 beta=60.00 gamma=60.00
Fractional coordinates of all 6 atoms:
Y1 0.000 0.000 0.000
Mn1 0.377 0.377 0.377
Mn2 0.377 0.377 0.869
Mn3 0.377 0.869 0.377
Mn4 0.869 0.377 0.377
As1 0.750 0.750 0.750